# 1
Computed, not measured: InNi2Se at its PBEsol-relaxed geometry at the SCAN level of DFT.

Output
Energy above the most stable polymorph in this dataset   5.14 kcal/mol of atoms
Uncorrected formation energy   174.9 meV/atom
DOS(E_F)   1.80 states/eV/f.u.

Cell: 4.2115 4.2115 3.2804 Å, 90.00 90.00 90.00°
With the nearest neighbours (Å) after each atom.
Space group P4/mmm (No. 123)
Asymmetric unit:
In 0.0000 0.0000 0.0000  8 Ni 2.67, 4 Se 2.98
Ni 0.0000 0.5000 0.5000  4 Se 2.67, 4 In 2.67, 4 Ni 2.98
Se 0.5000 0.5000 0.0000  8 Ni 2.67, 4 In 2.98

***

# 2
Computed, not measured: InNi2Se at its PBEsol-relaxed geometry at the SCAN level of DFT.

Output
Energy above the most stable polymorph in this dataset   2.34 kcal/mol of atoms
Uncorrected formation energy   53.5 meV/atom
DOS(E_F)   2.42 states/eV/f.u.

Cell: 7.4437 2.9736 6.2645 Å, 90.00 111.42 90.00°
With the nearest neighbours (Å) after each atom.
Space group C2/m (No. 12)
Asymmetric unit:
In 0.0000 0.0000 0.0000  4 Ni 2.61
Ni 0.2339 0.5000 0.3263  3 Se 2.37-2.40, 2 Ni 2.57, 2 In 2.61
Se 0.0000 0.5000 0.5000  6 Ni 2.37-2.40